The following is a PBE with a Hubbard U calculation of an optimized crystal structure of ZrFeN2F, from Alexandria via LeMat-Bulk. Values from VASP.

Symmetry: P4/mmm
Excess energy over the best structure of this formula in the dataset in meV per atom: 73
Volume in Å³/atom: 11.469

Cell and atoms, written as Quantum ESPRESSO input:
```
&SYSTEM
  ibrav = 0, nat = 5, ntyp = 4
/
ATOMIC_SPECIES
N 14.01 N.upf
Fe 55.84 Fe.upf
Zr 91.22 Zr.upf
F 19.00 F.upf
ATOMIC_POSITIONS angstrom
N 0.000 1.974 0.000
N 1.974 0.000 0.000
Fe 0.000 0.000 0.000
Zr 1.974 1.974 1.840
F 0.000 0.000 1.840
CELL_PARAMETERS angstrom
3.947 0.000 0.000
0.000 3.947 0.000
0.000 0.000 3.680
```